one | ## SrGaTe2I (meta-GGA SCAN)

Data for a crystal of SrGaTe2I relaxed with PBEsol.

Calculated values
- Magnetic moment: 0.384 μB/atom

abc: 6.0658 6.0658 6.1990
angles: 90.00 90.00 90.00
With the nearest neighbours (Å) after each atom.
Space group P4/mmm (No. 123)
Inequivalent atoms, fractional coordinates:
Sr 0.0000 0.0000 0.0000 (multiplicity 1)  4 Te 3.03, 2 I 3.10
Ga 0.5000 0.5000 0.5000 (multiplicity 1)  4 I 4.29, 8 Te 4.34
Te 0.0000 0.5000 0.0000 (multiplicity 2)  2 Sr 3.03
I 0.0000 0.0000 0.5000 (multiplicity 1)  2 Sr 3.10

=====

two | ## SrGaTe2I (meta-GGA SCAN)

Data for a crystal of SrGaTe2I relaxed with PBEsol.

Calculated values
- Magnetic moment: 0.000 μB/atom

abc: 5.3596 5.3596 5.7365
angles: 90.00 90.00 90.00
With the nearest neighbours (Å) after each atom.
Space group P4/mmm (No. 123)
Inequivalent atoms, fractional coordinates:
Sr 0.0000 0.0000 0.0000 (multiplicity 1)  4 I 3.79, 8 Te 3.93
Ga 0.5000 0.5000 0.5000 (multiplicity 1)  4 Te 2.68, 2 I 2.87
Te 0.0000 0.5000 0.5000 (multiplicity 2)  2 Ga 2.68
I 0.5000 0.5000 0.0000 (multiplicity 1)  2 Ga 2.87

=====

Which is most stable, and by how much? two, by 512 meV/atom.

=====

one | ## TlGaI2 (meta-GGA SCAN)

Data for a crystal of TlGaI2 relaxed with PBEsol.

Calculated values
- Magnetic moment: 0.000 μB/atom

abc: 7.5399 7.5399 14.6989
angles: 90.00 90.00 90.00
With the nearest neighbours (Å) after each atom.
Space group I-42d (No. 122)
Inequivalent atoms, fractional coordinates:
Tl 0.0000 0.0000 0.0000 (multiplicity 4)  4 I 3.35
Ga 0.0000 0.0000 0.5000 (multiplicity 4)  4 I 3.13
I 0.2253 0.2500 0.6250 (multiplicity 8)  2 Ga 3.13, 2 Tl 3.35

=====

two | ## TlGaI2 (meta-GGA SCAN)

Data for a crystal of TlGaI2 relaxed with PBEsol.

Calculated values
- Magnetic moment: 0.000 μB/atom

abc: 8.0682 8.0682 8.0682
angles: 90.00 90.00 90.00
With the nearest neighbours (Å) after each atom.
Space group Fm-3m (No. 225)
Inequivalent atoms, fractional coordinates:
Tl 0.0000 0.0000 0.0000 (multiplicity 4)  8 I 3.49
Ga 0.0000 0.0000 0.5000 (multiplicity 4)  8 I 3.49
I 0.2500 0.2500 0.2500 (multiplicity 8)  4 Tl 3.49, 4 Ga 3.49

=====

Which is most stable, and by how much? two, by 77 meV/atom.

=====

one | ## In2Ga2Sn (meta-GGA SCAN)

Data for a crystal of In2Ga2Sn relaxed with PBEsol.

Calculated values
- Magnetic moment: 0.000 μB/atom

abc: 8.4594 8.4594 3.1834
angles: 90.00 90.00 90.00
With the nearest neighbours (Å) after each atom.
Space group P4/mbm (No. 127)
Inequivalent atoms, fractional coordinates:
In 0.1477 0.3523 0.0000 (multiplicity 4)  6 Ga 2.89-2.98, 2 In 3.18, 2 Sn 3.23
Ga 0.1503 0.6503 0.5000 (multiplicity 4)  6 In 2.89-2.98, 2 Ga 3.18
Sn 0.0000 0.0000 0.0000 (multiplicity 2)  2 Sn 3.18, 4 In 3.23

=====

two | ## In2Ga2Sn (meta-GGA SCAN)

Data for a crystal of In2Ga2Sn relaxed with PBEsol.

Calculated values
- Magnetic moment: 0.000 μB/atom

abc: 3.7772 3.7772 16.3338
angles: 90.00 90.00 90.00
With the nearest neighbours (Å) after each atom.
Space group I4/mmm (No. 139)
Inequivalent atoms, fractional coordinates:
In 0.0000 0.0000 0.1068 (multiplicity 4)  4 Ga 3.01, 4 Sn 3.19
Ga 0.0000 0.5000 0.2500 (multiplicity 4)  4 Ga 2.67
Sn 0.0000 0.0000 0.5000 (multiplicity 2)  8 In 3.19

=====

Which is most stable, and by how much? two, by 26 meV/atom.

=====

one | ## Tl2In2Ga (meta-GGA SCAN)

Data for a crystal of Tl2In2Ga relaxed with PBEsol.

Calculated values
- Magnetic moment: 0.000 μB/atom

abc: 7.3274 7.3274 4.9118
angles: 90.00 90.00 90.00
With the nearest neighbours (Å) after each atom.
Space group P4/mbm (No. 127)
Inequivalent atoms, fractional coordinates:
Tl 0.1683 0.3317 0.0000 (multiplicity 4)  6 In 3.14-3.36, 1 Tl 3.49
In 0.1434 0.6434 0.5000 (multiplicity 4)  2 Ga 2.82, 1 In 2.97, 2 Tl 3.14
Ga 0.0000 0.0000 0.5000 (multiplicity 2)  4 In 2.82

=====

two | ## Tl2In2Ga (meta-GGA SCAN)

Data for a crystal of Tl2In2Ga relaxed with PBEsol.

Calculated values
- Magnetic moment: 0.000 μB/atom

abc: 4.2953 4.2953 15.0641
angles: 90.00 90.00 90.00
With the nearest neighbours (Å) after each atom.
Space group I4/mmm (No. 139)
Inequivalent atoms, fractional coordinates:
Tl 0.0000 0.5000 0.2500 (multiplicity 4)  4 Tl 3.04, 4 In 3.18
In 0.0000 0.0000 0.0942 (multiplicity 4)  1 In 2.84
Ga 0.0000 0.0000 0.5000 (multiplicity 2)  8 In 3.35

=====

Which is most stable, and by how much? one, by 171 meV/atom.

=====

one | ## Tl2InGa2 (meta-GGA SCAN)

Data for a crystal of Tl2InGa2 relaxed with PBEsol.

Calculated values
- Magnetic moment: 0.000 μB/atom

abc: 7.2635 7.2635 4.6166
angles: 90.00 90.00 90.00
With the nearest neighbours (Å) after each atom.
Space group P4/mbm (No. 127)
Inequivalent atoms, fractional coordinates:
Tl 0.1738 0.3262 0.0000 (multiplicity 4)  6 Ga 3.08-3.20
In 0.0000 0.0000 0.5000 (multiplicity 2)  4 Ga 2.86
Ga 0.1284 0.6284 0.5000 (multiplicity 4)  1 Ga 2.64, 2 In 2.86

=====

two | ## Tl2InGa2 (meta-GGA SCAN)

Data for a crystal of Tl2InGa2 relaxed with PBEsol.

Calculated values
- Magnetic moment: 0.000 μB/atom

abc: 3.7150 3.7150 17.8566
angles: 90.00 90.00 90.00
With the nearest neighbours (Å) after each atom.
Space group I4/mmm (No. 139)
Inequivalent atoms, fractional coordinates:
Tl 0.0000 0.0000 0.1086 (multiplicity 4)  4 Ga 3.13, 4 In 3.27
In 0.0000 0.0000 0.5000 (multiplicity 2)  8 Tl 3.27
Ga 0.0000 0.5000 0.2500 (multiplicity 4)  4 Ga 2.63

=====

Which is most stable, and by how much? one, by 17 meV/atom.

=====

one | ## KGaMo3 (meta-GGA SCAN)

Data for a crystal of KGaMo3 relaxed with PBEsol.

Calculated values
- Magnetic moment: 0.000 μB/atom

abc: 4.4294 4.4294 4.4294
angles: 90.00 90.00 90.00
With the nearest neighbours (Å) after each atom.
Space group Pm-3m (No. 221)
Inequivalent atoms, fractional coordinates:
K 0.0000 0.0000 0.0000 (multiplicity 1)  6 Mo 2.21
Ga 0.5000 0.5000 0.5000 (multiplicity 1)  12 Mo 3.13
Mo 0.0000 0.0000 0.5000 (multiplicity 3)  2 K 2.21

=====

two | ## KGaMo3 (meta-GGA SCAN)

Data for a crystal of KGaMo3 relaxed with PBEsol.

Calculated values
- Magnetic moment: 0.002 μB/atom

abc: 4.7421 4.7421 4.7421
angles: 90.00 90.00 90.00
With the nearest neighbours (Å) after each atom.
Space group Pm-3m (No. 221)
Inequivalent atoms, fractional coordinates:
K 0.0000 0.0000 0.0000 (multiplicity 1)  12 Mo 3.35
Ga 0.5000 0.5000 0.5000 (multiplicity 1)  6 Mo 2.37
Mo 0.0000 0.5000 0.5000 (multiplicity 3)  2 Ga 2.37

=====

Which is most stable, and by how much? two, by 1106 meV/atom.